HoThMgSc, optimized geometry, DFT PBE-GGA; energy of formation = 0.07 eV/atom; DFT total energy = -4.91 eV/atom; SG = F-43m (216); volume = 111.6 Å³/cell; polymorph energy (0 for the lowest one) = 0 meV per atom; theoretical density = 6.939 Mg/m³
1.0
-5.064 -1.878 -0.171
-1.964 -2.062 -4.593
-0.899 -5.313 -0.409
Sc Th Ho Mg
1 1 1 1
direct
0.500 0.500 0.500 Sc
0.750 0.750 0.750 Th
0.250 0.250 0.250 Ho
0.000 0.000 0.000 Mg


HoThMgSc, optimized geometry, DFT PBE-GGA; energy of formation = 0.18 eV/atom; DFT total energy = -4.80 eV/atom; SG = I4mm (107); volume = 120.5 Å³/cell; polymorph energy (0 for the lowest one) = 104 meV per atom; theoretical density = 6.424 Mg/m³
1.0
-1.866 -2.340 1.625
-0.160 -1.853 -2.853
9.692 -2.906 3.375
Sc Th Ho Mg
1 1 1 1
direct
0.176 0.176 0.352 Sc
0.565 0.565 0.131 Th
0.943 0.943 0.886 Ho
0.328 0.328 0.656 Mg


Ho2Tm2Mg5Sc, optimized geometry, DFT PBE-GGA; energy of formation = 0.11 eV/atom; DFT total energy = -3.13 eV/atom; SG = P4/mbm (127); volume = 538.0 Å³/cell; theoretical density = 5.150 Mg/m³
1.0
4.917 0.000 0.000
0.000 10.460 0.000
0.000 0.000 10.460
Mg Sc Ho Tm
10 2 4 4
direct
0.500 0.072 0.807 Mg
0.500 0.428 0.307 Mg
0.500 0.000 0.500 Mg
0.500 0.572 0.693 Mg
0.500 0.500 0.000 Mg
0.500 0.307 0.572 Mg
0.500 0.193 0.072 Mg
0.500 0.693 0.428 Mg
0.500 0.807 0.928 Mg
0.500 0.928 0.193 Mg
0.000 0.500 0.500 Sc
0.000 0.000 0.000 Sc
0.000 0.823 0.677 Ho
0.000 0.677 0.177 Ho
0.000 0.177 0.323 Ho
0.000 0.323 0.823 Ho
0.000 0.119 0.619 Tm
0.000 0.619 0.881 Tm
0.000 0.881 0.381 Tm
0.000 0.381 0.119 Tm


HoTm2Mg2Sc2, optimized geometry, DFT PBE-GGA; energy of formation = 0.01 eV/atom; DFT total energy = -4.18 eV/atom; SG = R-3m (166); volume = 184.2 Å³/cell; theoretical density = 5.781 Mg/m³
1.0
5.259 0.000 0.000
2.630 4.555 0.000
2.630 1.518 7.691
Mg Tm Sc Ho
2 2 2 1
direct
0.710 0.710 0.869 Mg
0.290 0.290 0.131 Mg
0.154 0.154 0.539 Tm
0.846 0.846 0.461 Tm
0.571 0.571 0.286 Sc
0.429 0.429 0.714 Sc
0.000 0.000 0.000 Ho


Ho4Tm2MgSc, optimized geometry, DFT PBE-GGA; energy of formation = 0.03 eV/atom; DFT total energy = -4.37 eV/atom; SG = P4/mmm (123); volume = 231.8 Å³/cell; theoretical density = 7.641 Mg/m³
1.0
4.912 0.000 0.000
0.000 4.822 0.934
0.000 2.999 10.369
Mg Ho Sc Tm
1 4 1 2
direct
0.500 0.500 0.000 Mg
0.000 0.247 0.253 Ho
0.000 0.753 0.747 Ho
0.500 0.254 0.747 Ho
0.500 0.746 0.253 Ho
0.000 0.500 0.500 Sc
0.000 0.000 0.000 Tm
0.500 0.000 0.500 Tm


Ho2Tm6MgSc3, optimized geometry, DFT PBE-GGA; energy of formation = 0.05 eV/atom; DFT total energy = -4.67 eV/atom; SG = C2/m (12); volume = 338.7 Å³/cell; theoretical density = 7.368 Mg/m³
1.0
-4.615 0.444 -3.703
4.350 -3.874 -1.131
-5.319 -6.618 7.430
Ho Tm Mg Sc
2 6 1 3
direct
0.667 0.333 0.000 Ho
0.333 0.667 0.000 Ho
0.085 0.419 0.257 Tm
0.915 0.581 0.743 Tm
0.581 0.915 0.743 Tm
0.249 0.249 0.742 Tm
0.419 0.085 0.257 Tm
0.751 0.751 0.258 Tm
0.000 0.000 0.000 Mg
0.834 0.166 0.500 Sc
0.166 0.834 0.500 Sc
0.500 0.500 0.500 Sc


Y2HoMg5Sc2, optimized geometry, DFT PBE-GGA; energy of formation = 0.03 eV/atom; DFT total energy = -3.78 eV/atom; SG = P4/mbm (127); volume = 529.3 Å³/cell; theoretical density = 3.477 Mg/m³
1.0
-1.510 -0.874 -4.621
7.935 -6.507 -1.362
-5.847 -7.839 3.394
Mg Y Sc Ho
10 4 4 2
direct
0.500 0.500 0.000 Mg
0.500 0.069 0.797 Mg
0.500 0.000 0.500 Mg
0.500 0.703 0.431 Mg
0.500 0.797 0.931 Mg
0.500 0.203 0.069 Mg
0.500 0.931 0.203 Mg
0.500 0.431 0.297 Mg
0.500 0.569 0.703 Mg
0.500 0.297 0.569 Mg
0.000 0.179 0.321 Y
0.000 0.321 0.821 Y
0.000 0.821 0.679 Y
0.000 0.679 0.179 Y
0.000 0.884 0.384 Sc
0.000 0.616 0.884 Sc
0.000 0.116 0.616 Sc
0.000 0.384 0.116 Sc
0.000 0.000 0.000 Ho
0.000 0.500 0.500 Ho


Y4Ho2MgSc, optimized geometry, DFT PBE-GGA; energy of formation = 0.03 eV/atom; DFT total energy = -5.33 eV/atom; SG = P2/m (10); volume = 239.2 Å³/cell; theoretical density = 5.241 Mg/m³
1.0
-0.851 -1.610 -4.614
-4.169 -2.200 1.536
-9.168 5.921 -0.375
Y Ho Mg Sc
4 2 1 1
direct
0.500 0.253 0.748 Y
0.500 0.747 0.252 Y
0.000 0.753 0.747 Y
0.000 0.247 0.253 Y
0.000 0.000 0.000 Ho
0.500 0.000 0.500 Ho
0.500 0.500 0.000 Mg
0.000 0.500 0.500 Sc


HoMgScZn, optimized geometry, DFT PBE-GGA; energy of formation = -0.20 eV/atom; DFT total energy = -3.65 eV/atom; SG = P4mm (99); volume = 91.5 Å³/cell; polymorph energy (0 for the lowest one) = 0 meV per atom; theoretical density = 5.435 Mg/m³
1.0
-2.262 2.593 -0.401
-1.332 -0.678 3.126
4.977 4.832 3.169
Mg Zn Ho Sc
1 1 1 1
direct
0.000 0.000 0.089 Mg
0.000 0.000 0.550 Zn
0.500 0.500 0.794 Ho
0.500 0.500 0.352 Sc


HoMgScZn, optimized geometry, DFT PBE-GGA; energy of formation = -0.17 eV/atom; DFT total energy = -3.61 eV/atom; SG = F-43m (216); volume = 90.3 Å³/cell; polymorph energy (0 for the lowest one) = 34 meV per atom; theoretical density = 5.511 Mg/m³
1.0
-4.715 1.661 0.604
-3.679 -3.235 1.163
-2.071 0.086 4.589
Mg Ho Sc Zn
1 1 1 1
direct
0.500 0.500 0.500 Mg
0.750 0.750 0.750 Ho
0.250 0.250 0.250 Sc
0.000 0.000 0.000 Zn


HoMgZrSc, optimized geometry, DFT PBE-GGA; energy of formation = 0.12 eV/atom; DFT total energy = -5.14 eV/atom; SG = F-43m (216); volume = 98.9 Å³/cell; polymorph energy (0 for the lowest one) = 26 meV per atom; theoretical density = 5.466 Mg/m³
1.0
5.190 0.000 0.000
2.595 4.495 0.000
2.595 1.498 4.238
Sc Ho Mg Zr
1 1 1 1
direct
0.000 0.000 0.000 Sc
0.250 0.250 0.250 Ho
0.500 0.500 0.500 Mg
0.750 0.750 0.750 Zr


HoMgZrSc, optimized geometry, DFT PBE-GGA; energy of formation = 0.10 eV/atom; DFT total energy = -5.16 eV/atom; SG = Amm2 (38); volume = 102.4 Å³/cell; polymorph energy (0 for the lowest one) = 0 meV per atom; theoretical density = 5.276 Mg/m³
1.0
-0.646 0.873 3.020
-2.416 -2.119 0.096
6.561 -7.396 1.835
Zr Sc Ho Mg
1 1 1 1
direct
0.435 0.930 0.870 Zr
0.043 0.430 0.086 Sc
0.290 0.430 0.579 Ho
0.663 0.929 0.326 Mg